Crystalline PrZr2NiN4 at its relaxed geometry, computed with PBE-GGA.

abc: 3.295 11.103 11.179
angles: 90.00 90.00 90.00
Space group Cmcm (No. 63)
Inequivalent atoms, fractional coordinates:
1 Pr 0.000 0.107 0.250 [4 per cell]
2 Zr 0.000 0.367 0.055 [8 per cell]
3 Ni 0.000 0.156 0.750 [4 per cell]
4 N 0.000 0.000 0.000 [4 per cell]
5 N 0.000 0.267 0.613 [8 per cell]
6 N 0.000 0.439 0.250 [4 per cell]

Summary:
E_tot: -283.347 eV/cell
Mass density: 7.12 g cm⁻³
DOS(E_F): 0.351 states/eV/atom
Energy relative to the elements, uncorrected: -1235 meV/atom